(1)
Material: CsTl8Sb2
Method: DFT, PBE-GGA
State: optimized geometry

```
CsTl8Sb2
1.0
6.852 0.000 0.000
0.000 6.852 0.000
0.000 0.000 10.716
Cs Tl Sb
1 8 2
direct
0.000 0.000 0.000
0.252 0.252 0.303
0.252 0.252 0.697
0.252 0.748 0.303
0.252 0.748 0.697
0.748 0.252 0.303
0.748 0.252 0.697
0.748 0.748 0.303
0.748 0.748 0.697
0.000 0.500 0.500
0.500 0.000 0.500
```

The calculation puts the total magnetization at 0.000 μB per atom. The uncorrected formation energy is -0.004 eV/atom. As for the space-group type: P4/mmm. The raw total energy comes out at -28.068 eV per cell. The volume is 45.75 A^3/atom.

(2)
Material: Cs12Tl5Sb3
Method: DFT, PBE-GGA
State: optimized geometry

```
Cs12Tl5Sb3
1.0
-11.223 11.223 11.223
11.223 -11.223 11.223
11.223 11.223 -11.223
Cs Tl Sb
48 20 12
direct
0.067 0.237 0.135
0.067 0.330 0.932
0.068 0.635 0.399
0.068 0.933 0.670
0.101 0.737 0.670
0.101 0.865 0.432
0.135 0.067 0.237
0.135 0.568 0.899
0.170 0.237 0.601
0.170 0.433 0.568
0.237 0.135 0.067
0.237 0.601 0.170
0.263 0.330 0.899
0.263 0.433 0.365
0.330 0.899 0.263
0.330 0.932 0.067
0.365 0.263 0.433
0.365 0.601 0.932
0.399 0.068 0.635
0.399 0.830 0.763
0.432 0.101 0.865
0.432 0.830 0.567
0.433 0.365 0.263
0.433 0.568 0.170
0.567 0.432 0.830
0.567 0.635 0.737
0.568 0.170 0.433
0.568 0.899 0.135
0.601 0.170 0.237
0.601 0.932 0.365
0.635 0.399 0.068
0.635 0.737 0.567
0.670 0.068 0.933
0.670 0.101 0.737
0.737 0.567 0.635
0.737 0.670 0.101
0.763 0.399 0.830
0.763 0.865 0.933
0.830 0.567 0.432
0.830 0.763 0.399
0.865 0.432 0.101
0.865 0.933 0.763
0.899 0.135 0.568
0.899 0.263 0.330
0.932 0.067 0.330
0.932 0.365 0.601
0.933 0.670 0.068
0.933 0.763 0.865
0.000 0.000 0.000
0.000 0.000 0.500
0.000 0.500 0.000
0.000 0.500 0.500
0.125 0.750 0.875
0.125 0.875 0.250
0.250 0.125 0.875
0.250 0.625 0.375
0.375 0.250 0.625
0.375 0.625 0.750
0.500 0.000 0.000
0.500 0.000 0.500
0.500 0.500 0.000
0.500 0.500 0.500
0.625 0.375 0.250
0.625 0.750 0.375
0.750 0.375 0.625
0.750 0.875 0.125
0.875 0.125 0.750
0.875 0.250 0.125
0.125 0.250 0.375
0.125 0.375 0.750
0.250 0.375 0.125
0.250 0.875 0.625
0.375 0.125 0.250
0.375 0.750 0.125
0.625 0.250 0.875
0.625 0.875 0.750
0.750 0.125 0.375
0.750 0.625 0.875
0.875 0.625 0.250
0.875 0.750 0.625
```

The calculation puts the total magnetization at 0.013 μB per atom. The uncorrected formation energy is 0.096 eV/atom. As for the space-group type: Ia-3d. The raw total energy comes out at -130.120 eV per cell. The volume is 70.68 A^3/atom.

(3)
Material: CsTl6Sb
Method: DFT, PBE-GGA
State: optimized geometry

```
CsTl6Sb
1.0
5.470 0.000 0.000
0.000 6.814 0.000
0.000 0.000 16.815
Cs Tl Sb
2 12 2
direct
0.000 0.000 0.000
0.000 0.500 0.500
0.000 0.241 0.725
0.000 0.259 0.225
0.000 0.741 0.225
0.000 0.759 0.725
0.500 0.000 0.177
0.500 0.000 0.644
0.500 0.241 0.854
0.500 0.259 0.354
0.500 0.500 0.144
0.500 0.500 0.677
0.500 0.741 0.354
0.500 0.759 0.854
0.000 0.000 0.382
0.000 0.500 0.882
```

The calculation puts the total magnetization at 0.000 μB per atom. The uncorrected formation energy is -0.036 eV/atom. As for the space-group type: Amm2. The raw total energy comes out at -38.918 eV per cell. The volume is 39.17 A^3/atom.

(4)
Material: Cs2Tl6Sb3
Method: DFT, PBE-GGA
State: optimized geometry

```
Cs2Tl6Sb3
1.0
10.136 0.000 0.000
-5.068 8.778 0.000
0.000 0.000 4.857
Cs Tl Sb
2 6 3
direct
0.333 0.667 0.000
0.667 0.333 0.000
0.000 0.185 0.000
0.000 0.688 0.500
0.185 0.000 0.000
0.312 0.312 0.500
0.688 0.000 0.500
0.815 0.815 0.000
0.000 0.362 0.500
0.362 0.000 0.500
0.638 0.638 0.500
```

The calculation puts the total magnetization at 0.000 μB per atom. The uncorrected formation energy is -0.119 eV/atom. As for the space-group type: P-62m. The raw total energy comes out at -29.582 eV per cell. The volume is 39.28 A^3/atom.

(5)
Material: Cs3Tl4Sb2
Method: DFT, PBE-GGA
State: optimized geometry

```
Cs3Tl4Sb2
1.0
7.022 -7.279 0.000
7.022 7.279 0.000
-4.018 0.000 7.984
Cs Tl Sb
6 8 4
direct
0.044 0.956 0.750
0.257 0.427 0.543
0.427 0.257 0.043
0.573 0.743 0.957
0.743 0.573 0.457
0.956 0.044 0.250
0.049 0.655 0.288
0.233 0.584 0.022
0.345 0.951 0.212
0.416 0.767 0.478
0.584 0.233 0.522
0.655 0.049 0.788
0.767 0.416 0.978
0.951 0.345 0.712
0.069 0.335 0.078
0.335 0.069 0.578
0.665 0.931 0.422
0.931 0.665 0.922
```

The calculation puts the total magnetization at 0.000 μB per atom. Its excess energy over the best structure of this formula in the dataset is 0 meV/atom. The uncorrected formation energy is -0.253 eV/atom. As for the space-group type: C2/c. The raw total energy comes out at -45.098 eV per cell. The volume is 45.34 A^3/atom.

(6)
Material: Cs3Tl5Sb2
Method: DFT, PBE-GGA
State: optimized geometry

```
Cs3Tl5Sb2
1.0
-6.130 8.667 3.984
6.130 -8.667 3.984
6.130 8.667 -3.984
Cs Tl Sb
6 10 4
direct
0.139 0.245 0.384
0.250 0.250 0.000
0.361 0.745 0.106
0.639 0.255 0.894
0.750 0.750 0.000
0.861 0.755 0.616
0.016 0.750 0.266
0.115 0.634 0.749
0.250 0.750 0.500
0.385 0.134 0.520
0.484 0.750 0.734
0.516 0.250 0.266
0.615 0.866 0.480
0.750 0.250 0.500
0.885 0.366 0.251
0.984 0.250 0.734
0.159 0.871 0.031
0.341 0.371 0.712
0.659 0.629 0.288
0.841 0.129 0.969
```

The calculation puts the total magnetization at 0.000 μB per atom. The uncorrected formation energy is -0.187 eV/atom. As for the space-group type: Ibam. The raw total energy comes out at -49.015 eV per cell. The volume is 42.34 A^3/atom.

(7)
Material: Cs5TlSb2
Method: DFT, PBE-GGA
State: optimized geometry

```
Cs5TlSb2
1.0
3.272 1.889 11.637
-3.272 1.889 11.637
0.000 -3.778 11.637
Cs Tl Sb
5 1 2
direct
0.000 0.000 0.000
0.123 0.123 0.123
0.283 0.283 0.283
0.717 0.717 0.717
0.877 0.877 0.877
0.500 0.500 0.500
0.407 0.407 0.407
0.593 0.593 0.593
```

The calculation puts the total magnetization at 0.000 μB per atom. The uncorrected formation energy is -0.260 eV/atom. As for the space-group type: R-3m. The raw total energy comes out at -16.957 eV per cell. The volume is 53.94 A^3/atom.

(8)
Material: Cs2Tl2Sb
Method: DFT, PBE-GGA
State: optimized geometry

```
Cs2Tl2Sb
1.0
8.357 0.000 0.000
0.000 8.357 0.000
0.000 0.000 6.288
Cs Tl Sb
4 4 2
direct
0.188 0.312 0.000
0.312 0.812 0.000
0.688 0.188 0.000
0.812 0.688 0.000
0.131 0.631 0.500
0.369 0.131 0.500
0.631 0.869 0.500
0.869 0.369 0.500
0.000 0.000 0.500
0.500 0.500 0.500
```

The calculation puts the total magnetization at 0.000 μB per atom. Its excess energy over the best structure of this formula in the dataset is 112 meV/atom. The uncorrected formation energy is -0.141 eV/atom. As for the space-group type: P4/mbm. The raw total energy comes out at -22.536 eV per cell. The volume is 43.91 A^3/atom.

(9)
Material: CsTlSb3
Method: DFT, PBE-GGA
State: optimized geometry

```
CsTlSb3
1.0
6.271 0.000 0.000
0.000 6.271 0.000
0.000 0.000 6.271
Cs Tl Sb
1 1 3
direct
0.000 0.000 0.000
0.500 0.500 0.500
0.000 0.000 0.500
0.000 0.500 0.000
0.500 0.000 0.000
```

The calculation puts the total magnetization at 0.000 μB per atom. Its excess energy over the best structure of this formula in the dataset is 1364 meV/atom. The uncorrected formation energy is 1.213 eV/atom. As for the space-group type: Pm-3m. The raw total energy comes out at -9.524 eV per cell. The volume is 49.32 A^3/atom.

(10)
Material: Cs2Tl2Sb
Method: DFT, PBE-GGA
State: optimized geometry

```
Cs2Tl2Sb
1.0
4.466 -7.901 0.000
4.466 7.901 0.000
-3.656 0.000 7.191
Cs Tl Sb
4 4 2
direct
0.045 0.347 0.283
0.347 0.045 0.283
0.653 0.955 0.717
0.955 0.653 0.717
0.210 0.210 0.897
0.447 0.447 0.702
0.553 0.553 0.298
0.790 0.790 0.103
0.357 0.643 0.000
0.643 0.357 0.000
```

The calculation puts the total magnetization at 0.000 μB per atom. Its excess energy over the best structure of this formula in the dataset is 22 meV/atom. The uncorrected formation energy is -0.232 eV/atom. As for the space-group type: C2/m. The raw total energy comes out at -23.442 eV per cell. The volume is 50.75 A^3/atom.

(11)
Material: Cs3Tl7Sb4
Method: DFT, PBE-GGA
State: optimized geometry

```
Cs3Tl7Sb4
1.0
10.015 -2.587 0.000
10.015 2.587 0.000
-7.013 0.000 10.140
Cs Tl Sb
3 7 4
direct
0.000 0.000 0.000
0.303 0.303 0.303
0.697 0.697 0.697
0.000 0.000 0.500
0.158 0.158 0.444
0.317 0.317 0.964
0.500 0.500 0.304
0.500 0.500 0.696
0.683 0.683 0.036
0.842 0.842 0.556
0.122 0.122 0.844
0.348 0.348 0.712
0.652 0.652 0.288
0.878 0.878 0.156
```

The calculation puts the total magnetization at 0.000 μB per atom. The uncorrected formation energy is -0.202 eV/atom. As for the space-group type: C2/m. The raw total energy comes out at -38.441 eV per cell. The volume is 37.53 A^3/atom.

(12)
Material: Cs3TlSb4
Method: DFT, PBE-GGA
State: optimized geometry

```
Cs3TlSb4
1.0
6.282 0.000 0.000
0.000 6.378 0.000
0.000 0.000 20.782
Cs Tl Sb
6 2 8
direct
0.000 0.000 0.000
0.000 0.500 0.196
0.000 0.500 0.804
0.500 0.000 0.304
0.500 0.000 0.696
0.500 0.500 0.500
0.000 0.000 0.500
0.500 0.500 0.000
0.000 0.285 0.382
0.000 0.285 0.618
0.000 0.715 0.382
0.000 0.715 0.618
0.500 0.215 0.118
0.500 0.215 0.882
0.500 0.785 0.118
0.500 0.785 0.882
```

The calculation puts the total magnetization at 0.000 μB per atom. The uncorrected formation energy is -0.210 eV/atom. As for the space-group type: Immm. The raw total energy comes out at -46.195 eV per cell. The volume is 52.04 A^3/atom.